[1]
Material: Ag2RhPb
Method: DFT, PBE
State: relaxed

POSCAR file:
```
Ag2RhPb
1.0
-1.3483 -4.9628 1.0365
0.2459 -0.6979 -3.0215
4.5525 -1.1345 0.4895
Ag Rh Pb
2 1 1
Direct
0.0000 0.2542 0.7573
0.0000 0.7458 0.2427
0.5000 0.5000 0.0000
0.5000 0.0000 0.5000
```

Computed properties:
- Calculated volume: 19.24 Å³/atom
- Energy: -4.016 eV per atom

---

[2]
Material: La5Nd3In2
Method: DFT, PBE
State: relaxed

POSCAR file:
```
La5Nd3In2
1.0
-0.5741 6.2315 2.5106
-10.3095 2.8472 -0.3698
-0.3132 -0.6819 10.6755
La Nd In
10 6 4
Direct
0.2500 0.5000 0.5000
0.7500 0.5000 0.5000
0.4994 0.7506 0.7506
0.0006 0.2494 0.2494
0.5006 0.2494 0.2494
0.9994 0.7506 0.7506
0.1262 0.5232 0.2243
0.8738 0.4768 0.7757
0.6262 0.2243 0.5232
0.3738 0.7757 0.4768
0.2500 0.0000 0.0000
0.7500 0.0000 0.0000
0.3848 0.3544 0.8760
0.6152 0.6456 0.1240
0.8848 0.8760 0.3544
0.1152 0.1240 0.6456
0.1266 0.7227 0.0241
0.8734 0.2773 0.9759
0.6266 0.0241 0.7227
0.3734 0.9759 0.2773
```

Computed properties:
- Calculated volume: 34.46 Å³/atom
- Energy: -4.409 eV per atom

---

[3]
Material: YTa2Ir
Method: DFT, PBE
State: relaxed

POSCAR file:
```
YTa2Ir
1.0
-0.4227 3.3350 -3.4816
-2.6358 -3.0862 -2.6363
-2.6376 1.0885 1.3629
Ir Ta Y
1 2 1
Direct
0.0000 0.5000 0.5000
0.0000 0.0000 0.0000
0.5000 0.5000 0.0000
0.5000 0.0000 0.5000
```

Computed properties:
- ΔE to the lowest computed polymorph: 370 meV/atom
- Calculated volume: 18.52 Å³/atom
- Energy: -9.571 eV per atom

---

[4]
Material: EuHo2Cu
Method: DFT, PBE
State: relaxed

POSCAR file:
```
EuHo2Cu
1.0
-1.7911 -2.1566 2.4008
1.2109 -3.4224 0.6663
5.5805 1.6327 8.4670
Eu Ho Cu
1 2 1
Direct
0.5000 0.5000 0.5000
0.2706 0.2706 0.1881
0.7294 0.7294 0.8119
0.0000 0.0000 0.0000
```

Computed properties:
- ΔE to the lowest computed polymorph: 118 meV/atom
- Calculated volume: 29.64 Å³/atom
- Energy: -5.820 eV per atom

---

Number 1: energy of formation from the pure elements 0.175 eV per atom. Number 2: energy of formation from the pure elements 0.033 eV per atom. Number 3: energy of formation from the pure elements 0.186 eV per atom. Number 4: energy of formation from the pure elements 0.062 eV per atom.